(1)
8
Lattice="-1.8111 1.8111 8.9272 1.8111 -1.8111 8.9272 1.8111 1.8111 -8.9272" Properties=species:S:1:pos:R:3 comment="ZnNi2Ag (PBE, optimized geometry)" space_group=I-42d dft_energy_ev_per_cell=-28.422 e_form_ev_per_fu=1.477 pbc="T T T"
Zn 0.0000 0.0000 0.0000
Zn 0.0000 1.8111 4.4636
Ni 2.7167 0.8050 -2.2318
Ni 0.8050 0.9056 2.2318
Ni -0.9056 1.0061 6.6954
Ni 1.0061 0.9056 11.1590
Ag 1.8111 0.0000 4.4636
Ag 0.0000 0.0000 8.9272


(2)
4
Lattice="1.3516 0.7803 8.5418 -1.3516 0.7803 8.5418 0.0000 -1.5606 8.5418" Properties=species:S:1:pos:R:3 comment="ZnNi2Ag (PBE, optimized geometry)" space_group=R3m dft_energy_ev_per_cell=-15.335 e_form_ev_per_fu=0.353 pbc="T T T"
Zn 0.0000 0.0000 0.0000
Ni 0.0000 0.0000 12.4402
Ni 0.0000 0.0000 19.0810
Ag 0.0000 0.0000 6.1551


(3)
17
Lattice="7.7554 0.0000 0.0000 -3.8777 6.7164 0.0000 0.0000 0.0000 5.2837" Properties=species:S:1:pos:R:3 comment="Zn10NiAg6 (PBE, optimized geometry)" space_group=P-31m dft_energy_ev_per_cell=-35.295 e_form_ev_per_fu=0.333 pbc="T T T"
Zn -0.9603 1.6633 1.5414
Zn -2.9174 5.0531 3.7423
Zn 1.9206 0.0000 1.5414
Zn 0.9603 1.6633 3.7423
Zn 0.0000 4.4776 0.0000
Zn 0.0000 4.4776 2.6418
Zn 3.8777 2.2388 0.0000
Zn 3.8777 2.2388 2.6418
Zn 5.8348 0.0000 3.7423
Zn 2.9174 5.0531 1.5414
Ni 0.0000 0.0000 0.0000
Ag -1.5069 2.6100 4.0776
Ag -2.3708 4.1064 1.2060
Ag 3.0138 0.0000 4.0776
Ag 1.5069 2.6100 1.2060
Ag 4.7416 0.0000 1.2060
Ag 2.3708 4.1064 4.0776


(4)
10
Lattice="6.3266 0.0000 0.0000 0.0000 6.3266 0.0000 0.0000 0.0000 3.9540" Properties=species:S:1:pos:R:3 comment="Zn2NiAg2 (PBE, optimized geometry)" space_group=P4/mbm de_polymorph_mev_per_atom=0 dft_energy_ev_per_cell=-26.860 e_form_ev_per_fu=0.602 pbc="T T T"
Zn 0.8968 2.2665 0.0000
Zn 2.2665 5.4298 0.0000
Zn 4.0600 0.8968 0.0000
Zn 5.4298 4.0600 0.0000
Ni 0.0000 0.0000 0.0000
Ni 3.1633 3.1633 0.0000
Ag 1.0592 4.2225 1.9770
Ag 2.1041 1.0592 1.9770
Ag 4.2225 5.2673 1.9770
Ag 5.2673 2.1041 1.9770


Number 1: magnetic moment 0.8 Bohr magnetons per cell. Number 2: magnetic moment 0.8 Bohr magnetons per cell. Number 3: magnetic moment 0.0 Bohr magnetons per cell. Number 4: magnetic moment 0.0 Bohr magnetons per cell.